Record 1
Tc3P: optimized geometry, PBE.

## Properties
excess energy over the best structure of this formula in the dataset: 0.259 eV per atom
energy of formation: -0.081 eV per atom
magnetization: 0.0 μB/cell
E_tot: -9.208 eV/atom

```
8
Lattice="2.882 0.000 0.000 0.000 9.284 0.000 0.000 0.000 4.298" Properties=species:S:1:pos:R:3 pbc="T T T"
Tc 0.000 0.000 0.000
Tc 0.000 2.663 1.123
Tc 0.000 6.621 1.123
Tc 1.441 1.979 3.272
Tc 1.441 4.642 2.149
Tc 1.441 7.306 3.272
P 0.000 4.642 4.060
P 1.441 0.000 1.911
```

Record 2
MnWSe2Br: optimized geometry, PBE.

## Properties
excess energy over the best structure of this formula in the dataset: 0.000 eV per atom
magnetization: 6.2 μB/cell
uncorrected formation energy: 0.527 eV/atom
E_tot: -5.626 eV/atom

```
5
Lattice="4.915 0.000 0.000 0.000 4.915 0.000 0.000 0.000 5.318" Properties=species:S:1:pos:R:3 pbc="T T T"
Mn 0.000 0.000 0.000
W 2.458 2.458 2.659
Se 0.000 2.458 2.659
Se 2.458 0.000 2.659
Br 2.458 2.458 0.000
```

Record 3
TmFe2W: optimized geometry, PBE.

## Properties
energy of formation: 0.096 eV per atom
magnetization: 1.2 μB/cell
E_tot: -8.491 eV/atom

```
4
Lattice="3.043 0.000 0.000 0.000 3.043 0.000 0.000 0.000 6.683" Properties=species:S:1:pos:R:3 pbc="T T T"
Tm 0.000 0.000 0.000
Fe 1.522 1.522 1.966
Fe 1.522 1.522 4.717
W 0.000 0.000 3.342
```

Record 4
ZrScIn2: optimized geometry, PBE.

## Properties
excess energy over the best structure of this formula in the dataset: 0.006 eV per atom
energy of formation: -0.366 eV per atom
magnetization: 1.2 μB/cell
E_tot: -5.455 eV/atom

```
8
Lattice="6.349 0.000 0.000 0.000 8.864 0.000 0.000 0.000 3.168" Properties=species:S:1:pos:R:3 pbc="T T T"
Zr 0.000 0.000 0.000
Zr 3.175 4.432 0.000
Sc 0.000 4.432 0.000
Sc 3.175 0.000 0.000
In 1.587 2.216 1.584
In 1.587 6.648 1.584
In 4.762 2.216 1.584
In 4.762 6.648 1.584
```

Record 5
SmHgPb2O4: optimized geometry, PBE.

## Properties
magnetization: 0.0 μB/cell
uncorrected formation energy: -1.594 eV/atom
E_tot: -5.628 eV/atom

```
8
Lattice="4.067 0.000 0.000 0.000 4.067 0.000 0.000 0.000 9.773" Properties=species:S:1:pos:R:3 pbc="T T T"
Sm 0.000 0.000 0.000
Hg 0.000 0.000 4.886
Pb 2.034 2.034 2.435
Pb 2.034 2.034 7.338
O 0.000 2.034 1.366
O 0.000 2.034 8.407
O 2.034 0.000 1.366
O 2.034 0.000 8.407
```

Record 6
SmInNi: optimized geometry, PBE.

## Properties
energy of formation: -0.473 eV per atom
magnetization: 0.0 μB/cell
E_tot: -4.886 eV/atom

```
18
Lattice="13.276 0.000 0.000 0.000 3.781 0.000 0.000 0.000 7.675" Properties=species:S:1:pos:R:3 pbc="T T T"
Sm 0.585 0.000 1.726
Sm 3.319 0.000 6.588
Sm 6.053 0.000 1.726
Sm 7.223 0.000 5.949
Sm 9.957 0.000 1.087
Sm 12.691 0.000 5.949
In 1.615 1.890 4.403
In 3.319 1.890 1.537
In 5.023 1.890 4.403
In 8.253 1.890 3.272
In 9.957 1.890 6.138
In 11.662 1.890 3.272
Ni 1.226 1.890 7.249
Ni 3.319 0.000 3.474
Ni 5.412 1.890 7.249
Ni 7.864 1.890 0.426
Ni 9.957 0.000 4.201
Ni 12.051 1.890 0.426
```

Question: Which of these has the highest E_tot?
Answer: SmInNi